The following is a DFT calculation (PBE) of a geometry-optimized CdTcPt2 structure.

The density of states at the Fermi level comes out at 3.43 states/eV/cell. The formation enthalpy at 0 K comes out at -0.044 eV per atom.

Lattice parameters (Å, degrees): 6.349 4.938 2.800 90.04 63.77 121.17
Fractional coordinates of all 4 atoms:
Cd (0.500, 0.500, 0.000)
Pt (0.000, 0.000, 0.000)
Pt (0.500, 0.000, 0.500)
Tc (0.000, 0.500, 0.500)